The following is a PBE with a Hubbard U calculation of a relaxed Nb2NiO crystal, from the Alexandria database.

```
12
Lattice="2.829 0.000 0.000 -1.415 2.450 0.000 0.000 0.000 24.097" Properties=species:S:1:pos:R:3 pbc="T T T"
Nb 0.000 0.000 2.416
Nb 0.000 0.000 21.681
Nb 0.000 1.634 13.649
Nb 0.000 1.634 18.480
Nb 1.415 0.817 5.617
Nb 1.415 0.817 10.448
Ni 0.000 0.000 0.000
Ni 0.000 1.634 16.065
Ni 1.415 0.817 8.032
O 0.000 0.000 12.049
O 0.000 1.634 4.016
O 1.415 0.817 20.081
```

Properties
Total magnetization = 0.00 μB per formula unit
Uncorrected energy = -6.944 eV/atom
N(E_F) = 5.43 states/eV/cell
Calculated volume = 13.9 Å³/atom